# La3HgH, relaxed, DFT GGA-PBE
# DOS at the Fermi energy (states/eV/atom): 1.48
# Theoretical density (kg/m3): 7845
# M_tot (μB/cell): 0.00
# Energy relative to the lowest polymorph listed for this composition (kcal/mol of atoms): 1.48
# Crystal system: cubic
data_La3HgH
_space_group_name_H-M_alt 'P 1'
_space_group_IT_number 1
_cell_length_a 5.077
_cell_length_b 5.077
_cell_length_c 5.077
_cell_angle_alpha 90.00
_cell_angle_beta 90.00
_cell_angle_gamma 90.00
loop_
_space_group_symop_operation_xyz
'x,y,z'
loop_
_atom_site_label
_atom_site_type_symbol
_atom_site_fract_x
_atom_site_fract_y
_atom_site_fract_z
Hg1 Hg 0.500 0.500 0.500
La1 La 0.500 0.000 0.000
La2 La 0.000 0.000 0.500
La3 La 0.000 0.500 0.000
H1 H 0.000 0.000 0.000